1.
Here is a geometry-optimized PuUPtRh structure from Alexandria. Energies are from PBE.

Cell: 4.8921 4.8921 4.8921 Å, 60.00 60.00 60.00°
Site moments in Bohr magnetons follow the coordinates.
Element x y z (fractional)
Rh  0.2500  0.2500  0.2500  -0.21
U  0.5000  0.5000  0.5000  2.43
Pt  0.7500  0.7500  0.7500  -0.04
Pu  0.0000  0.0000  0.0000  5.26

Calculated values
Density of states at the Fermi level = 2.891 states/eV per atom
Space group = F-43m (216)
Uncorrected energy = -10.24 eV per atom
Energy of formation from the pure elements = -485 meV per atom

***

2.
Here is a geometry-optimized ReNiP2 structure from Alexandria. Energies are from PBE.

Cell: 5.1907 5.1907 6.3424 Å, 65.85 65.85 90.00°
Element x y z (fractional)
Re  0.0000  0.0000  0.0000
Re  0.7500  0.2500  0.5000
P  0.6118  0.1250  0.2500
P  0.1382  0.6250  0.2500
P  0.3750  0.3882  0.7500
P  0.8750  0.8618  0.7500
Ni  0.5000  0.5000  0.0000
Ni  0.2500  0.7500  0.5000

Calculated values
Density of states at the Fermi level = 0.515 states/eV per atom
Space group = I-42d (122)
Uncorrected energy = -7.26 eV per atom
Energy of formation from the pure elements = 1 meV per atom

***

3.
Here is a geometry-optimized RbTaCd structure from Alexandria. Energies are from PBE.

Cell: 3.0752 9.6082 6.7178 Å, 105.53 76.75 80.82°
Element x y z (fractional)
Ta  0.0480  0.1393  0.7111
Ta  0.5310  0.9868  0.8974
Rb  0.1442  0.3512  0.3075
Rb  0.7048  0.6085  0.9324
Cd  0.3197  0.7797  0.5271
Cd  0.8311  0.9866  0.2969

Calculated values
Density of states at the Fermi level = 0.935 states/eV per atom
Space group = P1 (1)
Uncorrected energy = -3.95 eV per atom
Energy of formation from the pure elements = 633 meV per atom

***

4.
Here is a geometry-optimized Li6ZnPb5 structure from Alexandria. Energies are from PBE.

Cell: 4.6916 7.8850 7.3764 Å, 90.00 71.46 90.00°
Element x y z (fractional)
Pb  0.6688  0.5000  0.6624
Pb  0.3393  0.0000  0.3214
Pb  0.0000  0.5000  0.0000
Pb  0.6607  0.0000  0.6786
Pb  0.3312  0.5000  0.3376
Zn  0.0000  0.0000  0.0000
Li  0.8382  0.7679  0.3237
Li  0.8382  0.2321  0.3237
Li  0.5000  0.2401  0.0000
Li  0.5000  0.7599  0.0000
Li  0.1618  0.7679  0.6763
Li  0.1618  0.2321  0.6763

Calculated values
Density of states at the Fermi level = 0.283 states/eV per atom
Space group = Cmmm (65)
Uncorrected energy = -2.83 eV per atom
Energy of formation from the pure elements = -220 meV per atom

***

5.
Here is a geometry-optimized Mn2ZnCoH structure from Alexandria. Energies are from PBE.

Cell: 3.9067 3.9067 3.5032 Å, 90.00 90.00 90.00°
Site moments in Bohr magnetons follow the coordinates.
Element x y z (fractional)
H  0.0000  0.0000  0.0000  -0.02
Zn  0.5000  0.5000  0.5000  -0.07
Mn  0.0000  0.5000  0.0000  3.18
Mn  0.5000  0.0000  0.0000  3.18
Co  0.0000  0.0000  0.5000  1.35

Calculated values
Density of states at the Fermi level = 0.694 states/eV per atom
Space group = P4/mmm (123)
Uncorrected energy = -6.02 eV per atom

***

6.
Here is a geometry-optimized ErTl2Pd5 structure from Alexandria. Energies are from PBE.

Cell: 4.2893 4.2893 8.5586 Å, 104.51 104.51 90.00°
Element x y z (fractional)
Er  0.0000  0.0000  0.0000
Tl  0.7424  0.7424  0.4848
Tl  0.2576  0.2576  0.5152
Pd  0.5000  0.5000  0.0000
Pd  0.8773  0.3773  0.7546
Pd  0.3773  0.8773  0.7546
Pd  0.1227  0.6227  0.2454
Pd  0.6227  0.1227  0.2454

Calculated values
Density of states at the Fermi level = 0.476 states/eV per atom
Space group = I4/mmm (139)
Uncorrected energy = -4.87 eV per atom
Energy of formation from the pure elements = -462 meV per atom

***

Question: What is the uncorrected energy in the fifth record?
Answer: -6.02 eV per atom

***

Question: What is the formula in the first record?
Answer: PuUPtRh

***

Repeat the third record exactly.
Here is a geometry-optimized RbTaCd structure from Alexandria. Energies are from PBE.

Cell: 3.0752 9.6082 6.7178 Å, 105.53 76.75 80.82°
Element x y z (fractional)
Ta  0.0480  0.1393  0.7111
Ta  0.5310  0.9868  0.8974
Rb  0.1442  0.3512  0.3075
Rb  0.7048  0.6085  0.9324
Cd  0.3197  0.7797  0.5271
Cd  0.8311  0.9866  0.2969

Calculated values
Density of states at the Fermi level = 0.935 states/eV per atom
Space group = P1 (1)
Uncorrected energy = -3.95 eV per atom
Energy of formation from the pure elements = 633 meV per atom

***

Question: Which of these has the highest uncorrected energy?
Answer: Li6ZnPb5